Record 1
This record from Alexandria via LeMat-Bulk describes a relaxed structure of PtSO2F. The functional is GGA-PBE.

N(E_F) in states/eV/f.u.: 7.7
Volume in Å³/atom: 15.1
ΔE_f (raw) in kJ/mol of formula units: 174.1

abc: 3.3993 3.3993 6.5481
angles: 90.00 90.00 90.00
Last column: nearest neighbours and their distance in Å.
Atoms (fractional coordinates):
S  0.0000  0.0000  0.0000  4 O 1.70
F  0.0000  0.0000  0.5000  4 Pt 2.40
O  0.0000  0.5000  0.0000  2 S 1.70
O  0.5000  0.0000  0.0000  2 S 1.70
Pt  0.5000  0.5000  0.5000  4 F 2.40

Record 2
This record from Alexandria via LeMat-Bulk describes a relaxed structure of PtS2O6F2. The functional is GGA-PBE.

Volume in Å³/atom: 15.4
ΔE_f (raw) in kJ/mol of formula units: -1140.3

abc: 5.1622 5.1622 7.3453
angles: 90.00 90.00 120.00
Last column: nearest neighbours and their distance in Å.
Atoms (fractional coordinates):
S  0.6667  0.3333  0.2266  3 O 1.46, 1 F 1.59
S  0.3333  0.6667  0.7734  3 O 1.46, 1 F 1.59
Pt  0.0000  0.0000  0.0000  6 O 2.27
O  0.9345  0.3182  0.1809  1 S 1.46
O  0.6163  0.9345  0.8191  1 S 1.46
O  0.0655  0.6818  0.8191  1 S 1.46
O  0.3837  0.0655  0.1809  1 S 1.46
O  0.3182  0.3837  0.8191  1 S 1.46
O  0.6818  0.6163  0.1809  1 S 1.46
F  0.6667  0.3333  0.4430  1 S 1.59
F  0.3333  0.6667  0.5570  1 S 1.59